# 1
A plane-wave DFT calculation with PBE-GGA was carried out for a geometry-optimized Na2Be2Al structure.

Output
Formation energy, meV/atom: 837
Offset from the most stable computed form, meV per atom: 432.4
SG: P4/mbm, No. 127
DOS at the Fermi energy, states/eV/cell: 3.306

a = 8.656 Å, b = 8.656 Å, c = 2.477 Å
α = 90.00°, β = 90.00°, γ = 90.00°
Element x y z (fractional)
Na: 0.375 0.875 0.000
Be: 0.675 0.825 0.500
Be: 0.825 0.325 0.500
Al: 0.000 0.000 0.000
Na: 0.125 0.375 0.000
Be: 0.325 0.175 0.500
Na: 0.625 0.125 0.000
Be: 0.175 0.675 0.500
Na: 0.875 0.625 0.000
Al: 0.500 0.500 0.000



# 2
A plane-wave DFT calculation with PBE-GGA was carried out for a geometry-optimized Pr3Nb5N12 structure.

Output
SG: Ia-3d, No. 230
Raw formation energy, kJ per mole of atoms: -84.78
DOS at the Fermi energy, states/eV/cell: 66.642

a = 11.469 Å, b = 11.469 Å, c = 11.469 Å
α = 109.47°, β = 109.47°, γ = 109.47°
Element x y z (fractional)
N: 0.583 0.883 0.403
Nb: 0.625 0.750 0.875
N: 0.179 0.083 0.700
N: 0.179 0.097 0.980
N: 0.617 0.597 0.917
Pr: 0.375 0.625 0.250
Pr: 0.750 0.375 0.125
N: 0.417 0.117 0.597
N: 0.200 0.520 0.617
N: 0.300 0.883 0.980
Pr: 0.875 0.750 0.125
Nb: 0.875 0.625 0.750
Pr: 0.125 0.875 0.750
N: 0.903 0.083 0.883
N: 0.821 0.903 0.020
Nb: 0.750 0.125 0.875
N: 0.480 0.800 0.883
Pr: 0.875 0.125 0.250
N: 0.821 0.917 0.300
N: 0.020 0.403 0.821
N: 0.520 0.321 0.903
N: 0.403 0.383 0.583
N: 0.417 0.300 0.321
N: 0.679 0.480 0.597
Nb: 0.125 0.750 0.375
Nb: 0.875 0.250 0.625
Nb: 0.000 0.000 0.500
Pr: 0.625 0.375 0.750
N: 0.097 0.917 0.117
N: 0.383 0.403 0.083
N: 0.883 0.583 0.903
N: 0.800 0.480 0.383
N: 0.903 0.821 0.520
Nb: 0.000 0.000 0.000
N: 0.200 0.679 0.083
N: 0.700 0.583 0.179
N: 0.597 0.980 0.679
N: 0.980 0.383 0.300
Nb: 0.000 0.500 0.500
Nb: 0.500 0.000 0.000
N: 0.097 0.179 0.480
N: 0.300 0.417 0.821
N: 0.321 0.800 0.417
Pr: 0.750 0.875 0.625
N: 0.883 0.300 0.480
N: 0.403 0.020 0.321
N: 0.700 0.117 0.020
N: 0.917 0.821 0.800
Nb: 0.500 0.500 0.500
Nb: 0.375 0.125 0.750
Nb: 0.000 0.500 0.000
N: 0.917 0.097 0.617
N: 0.083 0.903 0.383
Nb: 0.750 0.625 0.375
N: 0.480 0.679 0.097
Nb: 0.375 0.250 0.125
N: 0.117 0.700 0.520
N: 0.679 0.200 0.583
N: 0.117 0.417 0.097
Pr: 0.250 0.125 0.375
N: 0.321 0.520 0.403
Pr: 0.125 0.250 0.875
N: 0.980 0.597 0.179
N: 0.083 0.179 0.200
Nb: 0.125 0.375 0.250
Nb: 0.500 0.500 0.000
Nb: 0.250 0.875 0.125
Nb: 0.625 0.875 0.250
N: 0.583 0.700 0.679
N: 0.597 0.617 0.417
Pr: 0.250 0.625 0.875
Pr: 0.625 0.250 0.375
N: 0.617 0.020 0.200
Nb: 0.250 0.375 0.625
N: 0.383 0.980 0.800
Nb: 0.500 0.000 0.500
N: 0.520 0.200 0.117
N: 0.800 0.321 0.917
Pr: 0.375 0.750 0.625
N: 0.020 0.617 0.700



# 3
A plane-wave DFT calculation with PBE-GGA was carried out for a geometry-optimized Bi3SbC structure.

Output
Offset from the most stable computed form, meV per atom: 0.0
SG: Pm-3m, No. 221
Raw formation energy, kJ per mole of atoms: 86.62
DOS at the Fermi energy, states/eV/cell: 5.063

a = 5.065 Å, b = 5.065 Å, c = 5.065 Å
α = 90.00°, β = 90.00°, γ = 90.00°
Element x y z (fractional)
Bi: 0.000 0.000 0.500
Bi: 0.000 0.500 0.000
Sb: 0.500 0.500 0.500
Bi: 0.500 0.000 0.000
C: 0.000 0.000 0.000



# 4
A plane-wave DFT calculation with PBE-GGA was carried out for a geometry-optimized HoMg2PaN4 structure.

Output
SG: P2/m, No. 10
Raw formation energy, kJ per mole of atoms: -126.25
DOS at the Fermi energy, states/eV/cell: 0.000

a = 3.467 Å, b = 5.552 Å, c = 5.877 Å
α = 70.57°, β = 90.00°, γ = 90.00°
Element x y z (fractional)
Pa: 0.000 0.500 0.500
N: 0.000 0.740 0.743
Ho: 0.500 0.500 0.000
N: 0.500 0.258 0.737
N: 0.000 0.260 0.257
N: 0.500 0.742 0.263
Mg: 0.500 0.000 0.500
Mg: 0.000 0.000 0.000



# 5
A plane-wave DFT calculation with PBE-GGA was carried out for a geometry-optimized HgAsBr2 structure.

Output
Offset from the most stable computed form, meV per atom: 335.3
SG: P4/mmm, No. 123
Raw formation energy, kJ per mole of atoms: 20.24
DOS at the Fermi energy, states/eV/cell: 1.572

a = 3.377 Å, b = 3.377 Å, c = 10.067 Å
α = 90.00°, β = 90.00°, γ = 90.00°
Element x y z (fractional)
As: 0.500 0.500 0.750
Hg: 0.500 0.500 0.250
Br: 0.000 0.000 0.927
Br: 0.000 0.000 0.573



# 6
A plane-wave DFT calculation with PBE-GGA was carried out for a geometry-optimized HoTlBi structure.

Output
Formation energy, meV/atom: -425
Offset from the most stable computed form, meV per atom: 0.0
SG: Aem2, No. 39
DOS at the Fermi energy, states/eV/cell: 2.570

a = 4.483 Å, b = 4.483 Å, c = 9.171 Å
α = 90.00°, β = 90.00°, γ = 90.06°
Element x y z (fractional)
Ho: 0.308 0.808 0.172
Bi: 0.807 0.307 0.173
Tl: 0.394 0.394 0.500
Ho: 0.808 0.308 0.828
Bi: 0.307 0.807 0.827
Tl: 0.894 0.894 0.500



E_tot for the records above, in order: -1.929 -9.108 -4.100 -7.629 -1.864 -4.034 eV/atom